Entry 1:
Here is Zr2IrCl after structural relaxation from the Alexandria database. Energies are from PBE.

Results
- ΔE to the lowest computed polymorph (meV/atom) = 115
- DFT total energy (eV per atom) = -7.646
- raw formation energy (eV/atom) = -0.70

Unit cell a=4.9875 b=4.9875 c=3.1107 alpha=90.00 beta=90.00 gamma=90.00
Space group P4/mmm (No. 123)
Inequivalent atoms, fractional coordinates:
Zr1 0.0000 0.5000 0.0000 (multiplicity 2)
Ir1 0.0000 0.0000 0.5000 (multiplicity 1)
Cl1 0.5000 0.5000 0.0000 (multiplicity 1)


Entry 2:
Here is BaScTi2Mo after structural relaxation from the Alexandria database. Energies are from PBE.

Results
- energy of formation (meV per atom) = 520.5
- DFT total energy (eV per atom) = -6.455

Unit cell a=4.9433 b=4.9433 c=5.3443 alpha=90.00 beta=90.00 gamma=90.00
Space group P4/mmm (No. 123)
Inequivalent atoms, fractional coordinates:
Ba1 0.0000 0.0000 0.0000 (multiplicity 1)
Sc1 0.5000 0.5000 0.0000 (multiplicity 1)
Ti1 0.0000 0.5000 0.5000 (multiplicity 2)
Mo1 0.5000 0.5000 0.5000 (multiplicity 1)


Entry 3:
Here is Cu2Sn2Mo after structural relaxation from the Alexandria database. Energies are from PBE.

Results
- energy of formation (meV per atom) = 258.8
- DFT total energy (eV per atom) = -5.147

Unit cell a=3.4068 b=3.4068 c=15.2590 alpha=90.00 beta=90.00 gamma=90.00
Space group I4/mmm (No. 139)
Inequivalent atoms, fractional coordinates:
Cu1 0.0000 0.5000 0.2500 (multiplicity 4)
Sn1 0.0000 0.0000 0.1039 (multiplicity 4)
Mo1 0.0000 0.0000 0.5000 (multiplicity 2)


Entry 4:
Here is KOsRu2O8 after structural relaxation from the Alexandria database. Energies are from PBE.

Results
- DFT total energy (eV per atom) = -6.815
- raw formation energy (eV/atom) = -0.94

Unit cell a=4.7816 b=6.3996 c=4.7915 alpha=90.00 beta=93.33 gamma=90.00
Space group P2/m (No. 10)
Inequivalent atoms, fractional coordinates:
K1 0.0000 0.0000 0.0000 (multiplicity 1)
Os1 0.0000 0.5000 0.0000 (multiplicity 1)
Ru1 0.5000 0.2515 0.5000 (multiplicity 2)
O1 0.2148 0.2996 0.2128 (multiplicity 4)
O2 0.2868 0.5000 0.7110 (multiplicity 2)
O3 0.3390 0.0000 0.6571 (multiplicity 2)


Entry 5:
Here is SrYS2 after structural relaxation from the Alexandria database. Energies are from PBE.

Results
- ΔE to the lowest computed polymorph (meV/atom) = 365
- DFT total energy (eV per atom) = -5.779
- raw formation energy (eV/atom) = -1.68

Unit cell a=4.1353 b=4.1353 c=25.6711 alpha=90.00 beta=90.00 gamma=120.00
Space group R-3m (No. 166, hexagonal axes)
Inequivalent atoms, fractional coordinates:
Sr1 0.0000 0.0000 0.0000 (multiplicity 3)
Y1 0.0000 0.0000 0.5000 (multiplicity 3)
S1 0.0000 0.0000 0.1114 (multiplicity 6)


Entry 6:
Here is NiTeCl2 after structural relaxation from the Alexandria database. Energies are from PBE.

Results
- ΔE to the lowest computed polymorph (meV/atom) = 435
- DFT total energy (eV per atom) = -3.118
- raw formation energy (eV/atom) = 0.04

Unit cell a=3.0514 b=3.0514 c=10.9495 alpha=90.00 beta=90.00 gamma=90.00
Space group P4/mmm (No. 123)
Inequivalent atoms, fractional coordinates:
Ni1 0.0000 0.0000 0.0000 (multiplicity 1)
Te1 0.0000 0.0000 0.5000 (multiplicity 1)
Cl1 0.5000 0.5000 0.1348 (multiplicity 2)


Entry 7:
Here is SrLaTbMg after structural relaxation from the Alexandria database. Energies are from PBE.

Results
- energy of formation (meV per atom) = 131.1
- DFT total energy (eV per atom) = -3.077

Unit cell a=8.2684 b=8.2684 c=8.2684 alpha=90.00 beta=90.00 gamma=90.00
Space group F-43m (No. 216)
Inequivalent atoms, fractional coordinates:
Sr1 0.0000 0.0000 0.0000 (multiplicity 4)
La1 0.0000 0.0000 0.5000 (multiplicity 4)
Tb1 0.2500 0.2500 0.2500 (multiplicity 4)
Mg1 0.2500 0.2500 0.7500 (multiplicity 4)


Entry 8:
Here is RbPb2IO6 after structural relaxation from the Alexandria database. Energies are from PBE.

Results
- DFT total energy (eV per atom) = -4.912
- raw formation energy (eV/atom) = -0.94

Unit cell a=5.7792 b=6.9214 c=10.4342 alpha=90.00 beta=122.98 gamma=90.00
Space group P2_1/c (No. 14)
Inequivalent atoms, fractional coordinates:
Rb1 0.0000 0.0000 0.0000 (multiplicity 2)
Pb1 0.2174 0.0262 0.7228 (multiplicity 4)
I1 0.5000 0.0000 0.5000 (multiplicity 2)
O1 0.2047 0.1395 0.4961 (multiplicity 4)
O2 0.2365 0.6946 0.8769 (multiplicity 4)
O3 0.4264 0.1288 0.3186 (multiplicity 4)


Entry 9:
Here is SnPbO3 after structural relaxation from the Alexandria database. Energies are from PBE.

Results
- DFT total energy (eV per atom) = -5.164
- raw formation energy (eV/atom) = -0.65

Unit cell a=4.2281 b=4.2281 c=4.2281 alpha=90.00 beta=90.00 gamma=90.00
Space group Pm-3m (No. 221)
Inequivalent atoms, fractional coordinates:
Sn1 0.0000 0.0000 0.0000 (multiplicity 1)
Pb1 0.5000 0.5000 0.5000 (multiplicity 1)
O1 0.0000 0.5000 0.5000 (multiplicity 3)


Entry 10:
Here is Sc3ReC after structural relaxation from the Alexandria database. Energies are from PBE.

Results
- energy of formation (meV per atom) = 1424.5
- ΔE to the lowest computed polymorph (meV/atom) = 1404
- DFT total energy (eV per atom) = -6.709

Unit cell a=4.9548 b=4.9548 c=4.9548 alpha=90.00 beta=90.00 gamma=90.00
Space group Pm-3m (No. 221)
Inequivalent atoms, fractional coordinates:
Sc1 0.0000 0.0000 0.5000 (multiplicity 3)
Re1 0.0000 0.0000 0.0000 (multiplicity 1)
C1 0.5000 0.5000 0.5000 (multiplicity 1)


Entry 11:
Here is LiAlRu after structural relaxation from the Alexandria database. Energies are from PBE.

Results
- energy of formation (meV per atom) = -205.2
- DFT total energy (eV per atom) = -5.183

Unit cell a=3.1811 b=3.1811 c=7.9557 alpha=90.00 beta=90.00 gamma=90.00
Space group I4mm (No. 107)
Inequivalent atoms, fractional coordinates:
Li1 0.0000 0.0000 0.0000 (multiplicity 2)
Al1 0.0000 0.0000 0.3191 (multiplicity 2)
Ru1 0.0000 0.0000 0.6666 (multiplicity 2)


Entry 12:
Here is Li6Mg8In after structural relaxation from the Alexandria database. Energies are from PBE.

Results
- energy of formation (meV per atom) = 51.7
- ΔE to the lowest computed polymorph (meV/atom) = 12
- DFT total energy (eV per atom) = -1.747

Unit cell a=8.1422 b=8.1422 c=17.6791 alpha=90.00 beta=90.00 gamma=120.00
Space group R-3 (No. 148, hexagonal axes)
Inequivalent atoms, fractional coordinates:
Li1 0.9998 0.3396 0.3796 (multiplicity 18)
Mg1 0.0000 0.0000 0.3411 (multiplicity 6)
Mg2 0.0013 0.6642 0.7839 (multiplicity 18)
In1 0.0000 0.0000 0.0000 (multiplicity 3)


Repeat the second record exactly.
Here is BaScTi2Mo after structural relaxation from the Alexandria database. Energies are from PBE.

Results
- energy of formation (meV per atom) = 520.5
- DFT total energy (eV per atom) = -6.455

Unit cell a=4.9433 b=4.9433 c=5.3443 alpha=90.00 beta=90.00 gamma=90.00
Space group P4/mmm (No. 123)
Inequivalent atoms, fractional coordinates:
Ba1 0.0000 0.0000 0.0000 (multiplicity 1)
Sc1 0.5000 0.5000 0.0000 (multiplicity 1)
Ti1 0.0000 0.5000 0.5000 (multiplicity 2)
Mo1 0.5000 0.5000 0.5000 (multiplicity 1)


> DFT total energy of number 4 (KOsRu2O8)?

-6.815 eV per atom


Repeat the twelfth record exactly.
Here is Li6Mg8In after structural relaxation from the Alexandria database. Energies are from PBE.

Results
- energy of formation (meV per atom) = 51.7
- ΔE to the lowest computed polymorph (meV/atom) = 12
- DFT total energy (eV per atom) = -1.747

Unit cell a=8.1422 b=8.1422 c=17.6791 alpha=90.00 beta=90.00 gamma=120.00
Space group R-3 (No. 148, hexagonal axes)
Inequivalent atoms, fractional coordinates:
Li1 0.9998 0.3396 0.3796 (multiplicity 18)
Mg1 0.0000 0.0000 0.3411 (multiplicity 6)
Mg2 0.0013 0.6642 0.7839 (multiplicity 18)
In1 0.0000 0.0000 0.0000 (multiplicity 3)